The following is a DFT calculation (PBE-GGA) of Cs2GeOs after structural relaxation.

The space group is I-42d (No. 122) and the conventional cell measures 13.353, 13.353 and 4.740 Å, with angles of 90.00, 90.00 and 90.00 degrees. The distinct sites, in fractional coordinates, are Cs at (0.049, 0.750, 0.125), Ge at (0.000, 0.000, 0.500) and Os at (0.000, 0.000, 0.000).



The following is a DFT calculation (PBE-GGA) of CsGe2Os after structural relaxation.

The excess energy over the best structure of this formula in the dataset is 0.00 eV/f.u.

The space group is I4_1/amd (No. 141, origin choice 2) and the conventional cell measures 6.865, 6.865 and 12.402 Å, with angles of 90.00, 90.00 and 90.00 degrees. The distinct sites, in fractional coordinates, are Cs at (0.000, 0.250, 0.375), Ge at (0.000, 0.000, 0.000) and Os at (0.000, 0.250, 0.875).



The following is a DFT calculation (PBE-GGA) of CsGe3Os after structural relaxation.

The excess energy over the best structure of this formula in the dataset is 12.47 eV/f.u.

The space group is Pm-3m (No. 221) and the conventional cell measures 5.509, 5.509 and 5.509 Å, with angles of 90.00, 90.00 and 90.00 degrees. The distinct sites, in fractional coordinates, are Cs at (0.000, 0.000, 0.000), Ge at (0.000, 0.000, 0.500) and Os at (0.500, 0.500, 0.500).



The following is a DFT calculation (PBE-GGA) of Cs3GeP2 after structural relaxation.

The space group is C2/m (No. 12) and the conventional cell measures 23.553, 4.407 and 13.749 Å, with angles of 90.00, 125.66 and 90.00 degrees. The distinct sites, in fractional coordinates, are Cs at (0.037, 0.000, 0.258), Cs at (0.170, 0.500, 0.995), Cs at (0.192, 0.000, 0.619), Ge at (0.063, 0.500, 0.643), P at (0.061, 0.500, 0.468) and P at (0.116, 0.000, 0.764).



The following is a DFT calculation (PBE-GGA) of CsGeP3 after structural relaxation.

The excess energy over the best structure of this formula in the dataset is 11.72 eV/f.u.

The space group is Pm-3m (No. 221) and the conventional cell measures 5.392, 5.392 and 5.392 Å, with angles of 90.00, 90.00 and 90.00 degrees. The distinct sites, in fractional coordinates, are Cs at (0.000, 0.000, 0.000), Ge at (0.500, 0.500, 0.500) and P at (0.000, 0.000, 0.500).



The following is a DFT calculation (PBE-GGA) of CsGe2P after structural relaxation.

The space group is I4_1/amd (No. 141, origin choice 2) and the conventional cell measures 5.336, 5.336 and 17.545 Å, with angles of 90.00, 90.00 and 90.00 degrees. The distinct sites, in fractional coordinates, are Cs at (0.000, 0.250, 0.375), Ge at (0.000, 0.000, 0.000) and P at (0.000, 0.250, 0.875).



The following is a DFT calculation (PBE-GGA) of Cs3Ge5P12 after structural relaxation.

The space group is Ia-3d (No. 230) and the conventional cell measures 16.413, 16.413 and 16.413 Å, with angles of 90.00, 90.00 and 90.00 degrees. The distinct sites, in fractional coordinates, are Cs at (0.000, 0.250, 0.125), Ge at (0.000, 0.000, 0.000), Ge at (0.000, 0.250, 0.375) and P at (0.064, 0.121, 0.908).



The following is a DFT calculation (PBE-GGA) of CsGeP3 after structural relaxation.

The excess energy over the best structure of this formula in the dataset is 4.11 eV/f.u.

The space group is Pm-3m (No. 221) and the conventional cell measures 5.005, 5.005 and 5.005 Å, with angles of 90.00, 90.00 and 90.00 degrees. The distinct sites, in fractional coordinates, are Cs at (0.000, 0.000, 0.000), Ge at (0.500, 0.500, 0.500) and P at (0.000, 0.500, 0.500).



The following is a DFT calculation (PBE-GGA) of CsGeP3 after structural relaxation.

The excess energy over the best structure of this formula in the dataset is 0.00 eV/f.u.

The space group is R3c (No. 161, hexagonal axes) and the conventional cell measures 7.9683, 7.9683 and 19.0923 Å, with angles of 90.00, 90.00 and 120.00 degrees. The distinct sites, in fractional coordinates, are Cs at (0.0000, 0.0000, 0.0000), Ge at (0.0000, 0.0000, 0.2926) and P at (0.1810, 0.0535, 0.1859).



The following is a DFT calculation (PBE-GGA) of Cs2RbGeP2 after structural relaxation.

The space group is Ibam (No. 72) and the conventional cell measures 8.458, 16.034 and 6.728 Å, with angles of 90.00, 90.00 and 90.00 degrees. The distinct sites, in fractional coordinates, are Cs at (0.189, 0.182, 0.000), Rb at (0.000, 0.500, 0.250), Ge at (0.000, 0.000, 0.250) and P at (0.166, 0.074, 0.500).



The following is a DFT calculation (PBE-GGA) of CsRb2GeP2 after structural relaxation.

The space group is Ibam (No. 72) and the conventional cell measures 8.716, 14.777 and 6.812 Å, with angles of 90.00, 90.00 and 90.00 degrees. The distinct sites, in fractional coordinates, are Cs at (0.000, 0.000, 0.250), Rb at (0.175, 0.311, 0.000), Ge at (0.000, 0.500, 0.250) and P at (0.160, 0.421, 0.500).



The following is a DFT calculation (PBE-GGA) of Cs4Rb2GeP2 after structural relaxation.

The space group is C2/m (No. 12) and the conventional cell measures 24.156, 10.268 and 5.256 Å, with angles of 90.00, 90.72 and 90.00 degrees. The distinct sites, in fractional coordinates, are Cs at (0.099, 0.242, 0.482), Rb at (0.240, 0.000, 0.002), Ge at (0.000, 0.000, 0.000) and P at (0.089, 0.000, 0.981).



The following is a DFT calculation (PBE-GGA) of CsRbZnGeP after structural relaxation.

The excess energy over the best structure of this formula in the dataset is 0.61 eV/f.u.

The space group is Cm (No. 8) and the conventional cell measures 13.217, 4.703 and 9.000 Å, with angles of 90.00, 128.07 and 90.00 degrees. The distinct sites, in fractional coordinates, are Cs at (0.000, 0.000, 0.000), Rb at (0.003, 0.500, 0.544), Zn at (0.256, 0.500, 0.480), Ge at (0.206, 0.000, 0.524) and P at (0.247, 0.000, 0.805).



The following is a DFT calculation (PBE-GGA) of CsRbZnGeP after structural relaxation.

The excess energy over the best structure of this formula in the dataset is 0.22 eV/f.u.

The space group is Cm (No. 8) and the conventional cell measures 13.393, 3.935 and 7.692 Å, with angles of 90.00, 123.41 and 90.00 degrees. The distinct sites, in fractional coordinates, are Cs at (0.000, 0.000, 0.000), Rb at (0.143, 0.500, 0.619), Zn at (0.293, 0.000, 0.104), Ge at (0.378, 0.500, 0.400) and P at (0.307, 0.000, 0.491).



The following is a DFT calculation (PBE-GGA) of CsRbZnGeP after structural relaxation.

The excess energy over the best structure of this formula in the dataset is 0.19 eV/f.u.

The space group is Cm (No. 8) and the conventional cell measures 12.928, 3.836 and 8.304 Å, with angles of 90.00, 122.31 and 90.00 degrees. The distinct sites, in fractional coordinates, are Cs at (0.000, 0.000, 0.000), Rb at (0.122, 0.000, 0.607), Zn at (0.340, 0.000, 0.201), Ge at (0.270, 0.500, 0.391) and P at (0.389, 0.000, 0.577).



The following is a DFT calculation (PBE-GGA) of CsRbZnGeP after structural relaxation.

The excess energy over the best structure of this formula in the dataset is 0.26 eV/f.u.

The space group is Cm (No. 8) and the conventional cell measures 10.736, 4.213 and 7.214 Å, with angles of 90.00, 99.19 and 90.00 degrees. The distinct sites, in fractional coordinates, are Cs at (0.000, 0.000, 0.000), Rb at (0.235, 0.000, 0.661), Zn at (0.214, 0.500, 0.278), Ge at (0.001, 0.500, 0.439) and P at (0.315, 0.000, 0.208).



The following is a DFT calculation (PBE-GGA) of CsRbZnGeP after structural relaxation.

The excess energy over the best structure of this formula in the dataset is 0.15 eV/f.u.

The space group is Cm (No. 8) and the conventional cell measures 13.494, 3.805 and 8.127 Å, with angles of 90.00, 124.63 and 90.00 degrees. The distinct sites, in fractional coordinates, are Cs at (0.000, 0.000, 0.000), Rb at (0.373, 0.500, 0.381), Zn at (0.222, 0.000, 0.578), Ge at (0.142, 0.500, 0.751) and P at (0.257, 0.000, 0.954).



The following is a DFT calculation (PBE-GGA) of CsRbZnGeP after structural relaxation.

The excess energy over the best structure of this formula in the dataset is 0.35 eV/f.u.

The space group is Cm (No. 8) and the conventional cell measures 12.445, 3.816 and 8.622 Å, with angles of 90.00, 115.08 and 90.00 degrees. The distinct sites, in fractional coordinates, are Cs at (0.000, 0.000, 0.000), Rb at (0.389, 0.500, 0.487), Zn at (0.100, 0.500, 0.423), Ge at (0.227, 0.000, 0.696) and P at (0.139, 0.500, 0.768).



The following is a DFT calculation (PBE-GGA) of CsRbZnGeP after structural relaxation.

The excess energy over the best structure of this formula in the dataset is 0.43 eV/f.u.

The space group is Cm (No. 8) and the conventional cell measures 15.477, 4.612 and 5.915 Å, with angles of 90.00, 112.36 and 90.00 degrees. The distinct sites, in fractional coordinates, are Cs at (0.000, 0.000, 0.000), Rb at (0.292, 0.500, 0.299), Zn at (0.180, 0.000, 0.635), Ge at (0.123, 0.500, 0.674) and P at (0.470, 0.000, 0.455).



The following is a DFT calculation (PBE-GGA) of CsRbZnGeP after structural relaxation.

The excess energy over the best structure of this formula in the dataset is 0.00 eV/f.u.

The space group is P1 (No. 1) and the conventional cell measures 4.816, 6.748 and 6.798 Å, with angles of 107.33, 108.35 and 106.78 degrees. The distinct sites, in fractional coordinates, are Cs at (0.000, 0.000, 0.000), Rb at (0.003, 0.650, 0.351), Zn at (0.469, 0.332, 0.686), Ge at (0.786, 0.184, 0.524) and P at (0.227, 0.512, 0.868).



The following E_form values (in meV per atom) correspond, in order, to the records above: 667, 16, 2932, -172, 2162, 126, 202, 640, -182, -215, -193, -106, -30, -108, -114, -99, -121, -82, -65, -152.
The following density of states at the Fermi level values (in states/eV/f.u.) correspond, in order, to the records above: 3.29, 1.25, 5.03, 2.62, 5.33, 1.59, 7.01, 5.49, 0.00, 4.00, 3.46, 6.42, 3.99, 1.45, 1.29, 1.63, 1.29, 1.73, 4.03, 1.03.
The following energy values (in eV/atom) correspond, in order, to the records above: -3.721, -5.314, -2.255, -3.172, -2.178, -3.749, -4.327, -3.700, -4.522, -3.234, -3.230, -2.415, -2.655, -2.733, -2.739, -2.723, -2.745, -2.707, -2.690, -2.776.